Compound: MgRe2Ru
Source: Alexandria
Functional: PBE
Structure: optimized geometry

**Uncorrected energy**: -8.70 eV per atom
**Space-group type**: I4/mmm

Unit cell a=5.0815 b=5.0815 c=5.0815 alpha=137.15 beta=137.15 gamma=62.21
Last column: nearest neighbours and their distance in Å.
Positions (direct):
Re 0.0000 0.0000 0.0000  4 Re 2.63, 4 Ru 2.86, 4 Mg 2.86
Mg 0.7500 0.2500 0.5000  4 Ru 2.63, 8 Re 2.86
Ru 0.2500 0.7500 0.5000  4 Mg 2.63, 8 Re 2.86
Re 0.5000 0.5000 0.0000  4 Re 2.63, 4 Mg 2.86, 4 Ru 2.86



Compound: LaScCd2Fe
Source: Alexandria
Functional: PBE
Structure: optimized geometry

**Uncorrected energy**: -4.08 eV per atom
**Space-group type**: P4/mmm

Unit cell a=5.1642 b=4.7470 c=5.1642 alpha=90.00 beta=90.00 gamma=90.00
Last column: nearest neighbours and their distance in Å.
Positions (direct):
Cd 0.5000 0.0000 0.0000  2 Fe 2.58
La 0.0000 0.5000 0.0000  2 Fe 2.37
Fe 0.0000 0.0000 0.0000  2 La 2.37, 4 Cd 2.58
Cd 0.0000 0.0000 0.5000  2 Fe 2.58
Sc 0.5000 0.5000 0.5000  8 Cd 3.51, 4 La 3.65



Compound: Ac3PmB2N6
Source: Alexandria
Functional: PBE
Structure: optimized geometry

**Formation energy from raw total energies**: -1.13 eV/atom
**Uncorrected energy**: -7.83 eV per atom
**Space-group type**: P-3m1

Unit cell a=5.8118 b=5.8118 c=6.7024 alpha=90.00 beta=90.00 gamma=120.00
Last column: nearest neighbours and their distance in Å.
Positions (direct):
N 0.8126 0.6251 0.7243  1 B 1.47
N 0.6251 0.8126 0.2757  1 B 1.47
Ac 0.3333 0.6667 0.6736  1 B 2.80, 9 N 2.93-3.04
Ac 0.6667 0.3333 0.3264  1 B 2.80, 9 N 2.93-3.04
B 0.3333 0.6667 0.2559  3 N 1.47
N 0.1874 0.8126 0.2757  1 B 1.47
N 0.3749 0.1874 0.7243  1 B 1.47
B 0.6667 0.3333 0.7441  3 N 1.47
N 0.8126 0.1874 0.7243  1 B 1.47
Ac 0.0000 0.0000 0.0000  6 N 2.64
Pm 0.0000 0.0000 0.5000  6 N 2.41
N 0.1874 0.3749 0.2757  1 B 1.47



Compound: BaBi
Source: Alexandria
Functional: PBE
Structure: optimized geometry

**Uncorrected energy**: -3.12 eV per atom
**Space-group type**: F-43m

Unit cell a=8.0539 b=8.0539 c=8.0539 alpha=90.00 beta=90.00 gamma=90.00
Last column: nearest neighbours and their distance in Å.
Positions (direct):
Ba 0.7500 0.7500 0.2500  4 Bi 3.49
Ba 0.2500 0.2500 0.2500  4 Bi 3.49
Bi 0.5000 0.0000 0.5000  4 Ba 3.49
Bi 0.5000 0.5000 0.0000  4 Ba 3.49
Bi 0.0000 0.5000 0.5000  4 Ba 3.49
Bi 0.0000 0.0000 0.0000  4 Ba 3.49
Ba 0.2500 0.7500 0.7500  4 Bi 3.49
Ba 0.7500 0.2500 0.7500  4 Bi 3.49



Compound: PmAl2Ga3
Source: Alexandria
Functional: PBE
Structure: optimized geometry

**Uncorrected energy**: -3.89 eV per atom
**Space-group type**: I4/mmm

Unit cell a=4.3005 b=4.3005 c=13.4412 alpha=99.21 beta=99.21 gamma=90.00
Last column: nearest neighbours and their distance in Å.
Positions (direct):
Al 0.4001 0.4001 0.8002  5 Ga 2.46-2.56
Ga 0.9530 0.4530 0.9060  1 Ga 2.46, 2 Al 2.56
Ga 0.5470 0.0470 0.0940  1 Ga 2.46, 2 Al 2.56
Al 0.7500 0.2500 0.5000  4 Ga 2.60
Ga 0.6939 0.6939 0.3878  5 Al 2.46-2.60
Ga 0.4530 0.9530 0.9060  1 Ga 2.46, 2 Al 2.56
Pm 0.8540 0.8540 0.7080  8 Al 3.27-3.47, 8 Ga 3.29-3.37
Pm 0.1460 0.1460 0.2920  8 Al 3.27-3.47, 8 Ga 3.29-3.37
Ga 0.0470 0.5470 0.0940  1 Ga 2.46, 2 Al 2.56
Al 0.2500 0.7500 0.5000  4 Ga 2.60
Ga 0.3061 0.3061 0.6122  5 Al 2.46-2.60
Al 0.5999 0.5999 0.1998  5 Ga 2.46-2.56



Compound: PmTh2NpN4
Source: Alexandria
Functional: PBE
Structure: optimized geometry

**Formation energy from raw total energies**: -1.40 eV/atom
**Uncorrected energy**: -9.63 eV per atom
**Space-group type**: P2/m

Unit cell a=3.6011 b=6.2324 c=6.2214 alpha=109.42 beta=90.00 gamma=90.00
Last column: nearest neighbours and their distance in Å.
Positions (direct):
N 0.0000 0.7345 0.2366  2 Np 2.47, 3 Th 2.53-2.62, 1 Pm 2.55
N 0.5000 0.2630 0.2462  1 Np 2.46, 3 Th 2.52-2.63, 2 Pm 2.57
Th 0.0000 0.5000 0.5000  6 N 2.52-2.53
Np 0.5000 0.5000 0.0000  6 N 2.46-2.47
Pm 0.0000 0.0000 0.0000  6 N 2.55-2.57
N 0.5000 0.7370 0.7538  1 Np 2.46, 3 Th 2.52-2.63, 2 Pm 2.57
N 0.0000 0.2655 0.7634  2 Np 2.47, 3 Th 2.53-2.62, 1 Pm 2.55
Th 0.5000 0.0000 0.5000  6 N 2.62-2.63



Compound: Sm4Se3O4
Source: Alexandria
Functional: PBE
Structure: optimized geometry

**Formation energy from raw total energies**: -2.29 eV/atom
**Uncorrected energy**: -6.76 eV per atom
**Space-group type**: Immm
**Energy relative to the lowest polymorph listed for this composition**: 0.499 eV/atom

Unit cell a=4.0965 b=7.5155 c=7.7395 alpha=119.05 beta=105.35 gamma=90.00
Last column: nearest neighbours and their distance in Å.
Positions (direct):
Sm 0.7769 0.2769 0.5538  6 O 2.56-2.70
O 0.6752 0.4889 0.3505  3 Sm 2.32-2.56
Sm 0.5000 0.7540 0.0000  2 O 2.32
Se 0.9037 0.9037 0.8075  1 Se 2.48
Sm 0.5000 0.2460 0.0000  2 O 2.32
O 0.3248 0.5111 0.6495  3 Sm 2.32-2.56
Se 0.0963 0.0963 0.1925  1 Se 2.48
Sm 0.2231 0.7231 0.4462  6 O 2.56-2.70
O 0.6752 0.8616 0.3505  3 Sm 2.32-2.56
Se 0.0000 0.5000 0.0000  6 Sm 2.80-2.88
O 0.3248 0.1384 0.6495  3 Sm 2.32-2.56



Compound: NpFe2Ni
Source: Alexandria
Functional: PBE
Structure: optimized geometry

**Uncorrected energy**: -8.72 eV per atom
**Space-group type**: P4/mmm

Unit cell a=2.9320 b=2.9320 c=6.5891 alpha=90.00 beta=90.00 gamma=90.00
Last column: nearest neighbours and their distance in Å.
Positions (direct):
Np 0.5000 0.5000 0.5000  8 Fe 2.85, 4 Np 2.93
Fe 0.0000 0.0000 0.2041  4 Ni 2.47, 1 Fe 2.69
Fe 0.0000 0.0000 0.7959  4 Ni 2.47, 1 Fe 2.69
Ni 0.5000 0.5000 0.0000  8 Fe 2.47



Compound: BeSi2Ni2
Source: Alexandria
Functional: PBE
Structure: optimized geometry

**Formation energy from raw total energies**: -0.10 eV/atom
**Uncorrected energy**: -5.32 eV per atom
**Space-group type**: P4/mbm
**Energy relative to the lowest polymorph listed for this composition**: 0.370 eV/atom

Unit cell a=6.7158 b=6.7158 c=2.5663 alpha=90.00 beta=90.00 gamma=90.00
Last column: nearest neighbours and their distance in Å.
Positions (direct):
Ni 0.1321 0.3679 0.0000  6 Si 2.29-2.40, 3 Ni 2.51-2.57
Ni 0.6321 0.1321 0.0000  6 Si 2.29-2.40, 3 Ni 2.51-2.57
Si 0.6676 0.8324 0.5000  6 Ni 2.29-2.40, 2 Si 2.57
Be 0.0000 0.0000 0.0000  2 Be 2.57, 4 Ni 2.63, 8 Si 2.81
Si 0.8324 0.3324 0.5000  6 Ni 2.29-2.40, 2 Si 2.57
Ni 0.8679 0.6321 0.0000  6 Si 2.29-2.40, 3 Ni 2.51-2.57
Be 0.5000 0.5000 0.0000  2 Be 2.57, 4 Ni 2.63, 8 Si 2.81
Si 0.1676 0.6676 0.5000  6 Ni 2.29-2.40, 2 Si 2.57
Ni 0.3679 0.8679 0.0000  6 Si 2.29-2.40, 3 Ni 2.51-2.57
Si 0.3324 0.1676 0.5000  6 Ni 2.29-2.40, 2 Si 2.57



Compound: TcWSe3
Source: Alexandria
Functional: PBE
Structure: optimized geometry

**Formation energy from raw total energies**: 0.96 eV/atom
**Uncorrected energy**: -5.80 eV per atom
**Space-group type**: Pm-3m
**Energy relative to the lowest polymorph listed for this composition**: 0.000 eV/atom

Unit cell a=4.9452 b=4.9452 c=4.9452 alpha=90.00 beta=90.00 gamma=90.00
Last column: nearest neighbours and their distance in Å.
Positions (direct):
Tc 0.5000 0.5000 0.5000  12 Se 3.50
Se 0.5000 0.0000 0.0000  2 W 2.47
Se 0.0000 0.0000 0.5000  2 W 2.47
Se 0.0000 0.5000 0.0000  2 W 2.47
W 0.0000 0.0000 0.0000  6 Se 2.47



Compound: BaSrTc2
Source: Alexandria
Functional: PBE
Structure: optimized geometry

**Uncorrected energy**: -5.58 eV per atom
**Space-group type**: P4mm
**Energy relative to the lowest polymorph listed for this composition**: 0.222 eV/atom

Unit cell a=3.5009 b=3.5009 c=9.6504 alpha=90.00 beta=90.00 gamma=90.00
Last column: nearest neighbours and their distance in Å.
Positions (direct):
Tc 0.5000 0.5000 0.1495  4 Tc 2.54
Sr 0.5000 0.5000 0.8301  1 Tc 3.08
Ba 0.0000 0.0000 0.4278  1 Tc 3.23, 4 Ba 3.50
Tc 0.0000 0.0000 0.0927  4 Tc 2.54